This record from the Alexandria database describes a relaxed NaAlGaHg crystal. The functional is PBE-GGA.

abc: 6.9381 6.9381 6.9381
angles: 90.00 90.00 90.00
Last column: nearest neighbours and their distance in Å.
Space group F-43m (No. 216)
Inequivalent atoms, fractional coordinates:
Na (0.0000, 0.0000, 0.0000) [4 per cell]  4 Hg 3.00, 4 Ga 3.00
Al (0.0000, 0.0000, 0.5000) [4 per cell]  4 Hg 3.00, 4 Ga 3.00
Ga (0.2500, 0.2500, 0.2500) [4 per cell]  4 Na 3.00, 4 Al 3.00
Hg (0.2500, 0.2500, 0.7500) [4 per cell]  4 Na 3.00, 4 Al 3.00

Results
Magnetic moment in μB per formula unit: 0.0
E_form in eV per atom: 0.001